(1)
# GaAsAu3, relaxed, DFT PBE
data_GaAsAu3
_cell_length_a 4.992
_cell_length_b 4.992
_cell_length_c 4.992
_cell_angle_alpha 90.00
_cell_angle_beta 90.00
_cell_angle_gamma 90.00
_symmetry_space_group_name_H-M 'P m -3 m'
_symmetry_Int_Tables_number 221
_symmetry_space_group_name_Hall '-P 4 2 3'
loop_
_atom_site_label
_atom_site_type_symbol
_atom_site_fract_x
_atom_site_fract_y
_atom_site_fract_z
_atom_site_occupancy
Ga1 Ga 0.000 0.000 0.000 1
As1 As 0.500 0.500 0.500 1
Au1 Au 0.000 0.500 0.500 1
# total magnetization = 0.000 μB per atom
# N(E_F) = 2.0 states/eV/f.u.
# energy relative to the elements = 277 meV/atom
# crystal system = cubic

***

(2)
# K2Be2NbO6, relaxed, DFT PBE
data_K2Be2NbO6
_cell_length_a 5.4801
_cell_length_b 5.4801
_cell_length_c 6.4277
_cell_angle_alpha 90.00
_cell_angle_beta 90.00
_cell_angle_gamma 120.00
_symmetry_space_group_name_H-M 'P -3 m 1'
_symmetry_Int_Tables_number 164
_symmetry_space_group_name_Hall '-P 3 2"'
loop_
_atom_site_label
_atom_site_type_symbol
_atom_site_fract_x
_atom_site_fract_y
_atom_site_fract_z
_atom_site_occupancy
K1 K 0.3333 0.6667 0.3164 1
Be1 Be 0.3333 0.6667 0.8235 1
Nb1 Nb 0.0000 0.0000 0.0000 1
O1 O 0.1725 0.3450 0.8180 1
# total magnetization = 0.067 μB per atom
# N(E_F) = 6.5 states/eV/f.u.
# formation energy without anion corrections = -2.15 eV per atom
# crystal system = trigonal

***

(3)
# LaHgMo2, relaxed, DFT PBE
data_LaHgMo2
_cell_length_a 8.092
_cell_length_b 8.092
_cell_length_c 5.648
_cell_angle_alpha 90.00
_cell_angle_beta 90.00
_cell_angle_gamma 90.00
_symmetry_space_group_name_H-M 'I -4 2 d'
_symmetry_Int_Tables_number 122
_symmetry_space_group_name_Hall 'I -4 2bw'
loop_
_atom_site_label
_atom_site_type_symbol
_atom_site_fract_x
_atom_site_fract_y
_atom_site_fract_z
_atom_site_occupancy
La1 La 0.000 0.000 0.000 1
Hg1 Hg 0.000 0.000 0.500 1
Mo1 Mo 0.219 0.250 0.625 1
# total magnetization = 0.000 μB per atom
# N(E_F) = 5.9 states/eV/f.u.
# energy relative to the elements = 1101 meV/atom
# crystal system = tetragonal

***

(4)
# MgCl2, relaxed, DFT PBE
data_MgCl2
_cell_length_a 6.369
_cell_length_b 6.369
_cell_length_c 6.369
_cell_angle_alpha 90.00
_cell_angle_beta 90.00
_cell_angle_gamma 90.00
_symmetry_space_group_name_H-M 'F m -3 m'
_symmetry_Int_Tables_number 225
_symmetry_space_group_name_Hall '-F 4 2 3'
loop_
_atom_site_label
_atom_site_type_symbol
_atom_site_fract_x
_atom_site_fract_y
_atom_site_fract_z
_atom_site_occupancy
Mg1 Mg 0.000 0.000 0.000 1
Cl1 Cl 0.250 0.250 0.250 1
# total magnetization = 0.000 μB per atom
# N(E_F) = 0.0 states/eV/f.u.
# formation energy without anion corrections = -1.53 eV per atom
# crystal system = cubic

***

(5)
# PmGa4Ni2Au, relaxed, DFT PBE
data_PmGa4Ni2Au
_cell_length_a 4.1594
_cell_length_b 4.1594
_cell_length_c 27.5962
_cell_angle_alpha 90.00
_cell_angle_beta 90.00
_cell_angle_gamma 120.00
_symmetry_space_group_name_H-M 'R -3 m'
_symmetry_Int_Tables_number 166
_symmetry_space_group_name_Hall '-R 3 2"'
loop_
_atom_site_label
_atom_site_type_symbol
_atom_site_fract_x
_atom_site_fract_y
_atom_site_fract_z
_atom_site_occupancy
Pm1 Pm 0.0000 0.0000 0.0000 1
Ga1 Ga 0.0000 0.0000 0.1194 1
Ga2 Ga 0.0000 0.0000 0.3999 1
Ni1 Ni 0.0000 0.0000 0.2430 1
Au1 Au 0.0000 0.0000 0.5000 1
# total magnetization = 0.000 μB per atom
# N(E_F) = 3.9 states/eV/f.u.
# energy relative to the elements = -382 meV/atom
# crystal system = trigonal

***

(6)
# Ac3Pd2Au9, relaxed, DFT PBE
data_Ac3Pd2Au9
_cell_length_a 4.655
_cell_length_b 10.166
_cell_length_c 13.491
_cell_angle_alpha 90.00
_cell_angle_beta 90.00
_cell_angle_gamma 90.00
_symmetry_space_group_name_H-M 'I m m m'
_symmetry_Int_Tables_number 71
_symmetry_space_group_name_Hall '-I 2 2'
loop_
_atom_site_label
_atom_site_type_symbol
_atom_site_fract_x
_atom_site_fract_y
_atom_site_fract_z
_atom_site_occupancy
Ac1 Ac 0.000 0.000 0.000 1
Ac2 Ac 0.000 0.000 0.308 1
Pd1 Pd 0.000 0.179 0.500 1
Au1 Au 0.000 0.278 0.122 1
Au2 Au 0.000 0.363 0.336 1
Au3 Au 0.000 0.500 0.000 1
# total magnetization = 0.000 μB per atom
# N(E_F) = 5.1 states/eV/f.u.
# energy relative to the elements = -655 meV/atom
# crystal system = orthorhombic

***

(7)
# SrCu3Sb, relaxed, DFT PBE
data_SrCu3Sb
_cell_length_a 4.952
_cell_length_b 4.952
_cell_length_c 4.952
_cell_angle_alpha 90.00
_cell_angle_beta 90.00
_cell_angle_gamma 90.00
_symmetry_space_group_name_H-M 'P m -3 m'
_symmetry_Int_Tables_number 221
_symmetry_space_group_name_Hall '-P 4 2 3'
loop_
_atom_site_label
_atom_site_type_symbol
_atom_site_fract_x
_atom_site_fract_y
_atom_site_fract_z
_atom_site_occupancy
Sr1 Sr 0.000 0.000 0.000 1
Cu1 Cu 0.000 0.500 0.500 1
Sb1 Sb 0.500 0.500 0.500 1
# total magnetization = 0.000 μB per atom
# N(E_F) = 3.4 states/eV/f.u.
# formation energy without anion corrections = 0.21 eV per atom
# crystal system = cubic

***

(8)
# Pb2CN, relaxed, DFT PBE
data_Pb2CN
_cell_length_a 6.493
_cell_length_b 6.493
_cell_length_c 6.493
_cell_angle_alpha 90.00
_cell_angle_beta 90.00
_cell_angle_gamma 90.00
_symmetry_space_group_name_H-M 'F m -3 m'
_symmetry_Int_Tables_number 225
_symmetry_space_group_name_Hall '-F 4 2 3'
loop_
_atom_site_label
_atom_site_type_symbol
_atom_site_fract_x
_atom_site_fract_y
_atom_site_fract_z
_atom_site_occupancy
Pb1 Pb 0.250 0.250 0.250 1
C1 C 0.000 0.000 0.000 1
N1 N 0.000 0.000 0.500 1
# total magnetization = 0.282 μB per atom
# N(E_F) = 2.1 states/eV/f.u.
# formation energy without anion corrections = 1.87 eV per atom
# crystal system = cubic

***

(9)
# CsSrAuS2, relaxed, DFT PBE
data_CsSrAuS2
_cell_length_a 8.162
_cell_length_b 15.893
_cell_length_c 5.547
_cell_angle_alpha 90.00
_cell_angle_beta 90.00
_cell_angle_gamma 90.00
_symmetry_space_group_name_H-M 'C m m e'
_symmetry_Int_Tables_number 67
_symmetry_space_group_name_Hall '-C 2a 2'
loop_
_atom_site_label
_atom_site_type_symbol
_atom_site_fract_x
_atom_site_fract_y
_atom_site_fract_z
_atom_site_occupancy
Cs1 Cs 0.000 0.250 0.219 1
Sr1 Sr 0.250 0.000 0.500 1
Au1 Au 0.000 0.000 0.000 1
S1 S 0.000 0.110 0.720 1
# total magnetization = 0.000 μB per atom
# N(E_F) = 0.0 states/eV/f.u.
# formation energy without anion corrections = -1.24 eV per atom
# crystal system = orthorhombic

***

(10)
# Tl4Cd2Sn, relaxed, DFT PBE
data_Tl4Cd2Sn
_cell_length_a 3.4571
_cell_length_b 3.4571
_cell_length_c 57.5738
_cell_angle_alpha 90.00
_cell_angle_beta 90.00
_cell_angle_gamma 120.00
_symmetry_space_group_name_H-M 'R -3 m'
_symmetry_Int_Tables_number 166
_symmetry_space_group_name_Hall '-R 3 2"'
loop_
_atom_site_label
_atom_site_type_symbol
_atom_site_fract_x
_atom_site_fract_y
_atom_site_fract_z
_atom_site_occupancy
Tl1 Tl 0.0000 0.0000 0.1008 1
Tl2 Tl 0.0000 0.0000 0.3822 1
Cd1 Cd 0.0000 0.0000 0.1870 1
Sn1 Sn 0.0000 0.0000 0.0000 1
# total magnetization = 0.000 μB per atom
# N(E_F) = 3.3 states/eV/f.u.
# energy relative to the elements = 33 meV/atom
# crystal system = trigonal

***

(11)
# Pr3Ho2Tm8, relaxed, DFT PBE
data_Pr3Ho2Tm8
_cell_length_a 8.133
_cell_length_b 5.247
_cell_length_c 10.330
_cell_angle_alpha 90.00
_cell_angle_beta 105.12
_cell_angle_gamma 90.00
_symmetry_space_group_name_H-M 'P 1 2/m 1'
_symmetry_Int_Tables_number 10
loop_
_symmetry_equiv_pos_as_xyz
'x,y,z'
'-x,-y,-z'
'-x,y,-z'
'x,-y,z'
loop_
_atom_site_label
_atom_site_type_symbol
_atom_site_fract_x
_atom_site_fract_y
_atom_site_fract_z
_atom_site_occupancy
Pr1 Pr 0.000 0.000 0.000 1
Pr2 Pr 0.274 0.500 0.934 1
Ho1 Ho 0.322 0.000 0.407 1
Tm1 Tm 0.112 0.000 0.676 1
Tm2 Tm 0.157 0.500 0.241 1
Tm3 Tm 0.388 0.500 0.617 1
Tm4 Tm 0.463 0.000 0.149 1
# total magnetization = 0.000 μB per atom
# N(E_F) = 19.4 states/eV/f.u.
# energy relative to the elements = 163 meV/atom
# crystal system = monoclinic

***

(12)
# CdHgSe2, relaxed, DFT PBE
data_CdHgSe2
_cell_length_a 4.4297
_cell_length_b 4.4297
_cell_length_c 25.1896
_cell_angle_alpha 90.00
_cell_angle_beta 90.00
_cell_angle_gamma 120.00
_symmetry_space_group_name_H-M 'R 3 m'
_symmetry_Int_Tables_number 160
_symmetry_space_group_name_Hall 'R 3 -2"'
loop_
_atom_site_label
_atom_site_type_symbol
_atom_site_fract_x
_atom_site_fract_y
_atom_site_fract_z
_atom_site_occupancy
Cd1 Cd 0.0000 0.0000 0.0000 1
Hg1 Hg 0.0000 0.0000 0.8224 1
Se1 Se 0.0000 0.0000 0.3171 1
Se2 Se 0.0000 0.0000 0.5096 1
# total magnetization = 0.000 μB per atom
# N(E_F) = 0.8 states/eV/f.u.
# formation energy without anion corrections = -0.20 eV per atom
# crystal system = trigonal

***

- Which of these has the highest N(E_F)?
  Pr3Ho2Tm8